(1)
Mg6Al2In after structural relaxation, computed with PBE.

Structure (CIF):
```
data_Mg6Al2In
_chemical_formula_sum 'Mg24 Al8 In4'
_cell_length_a 15.988
_cell_length_b 10.993
_cell_length_c 4.655
_cell_angle_alpha 90.00
_cell_angle_beta 90.00
_cell_angle_gamma 90.00
_space_group_name_H-M_alt 'C m c m'
_space_group_IT_number 63
_space_group_name_Hall '-C 2c 2'
loop_
_atom_site_label
_atom_site_fract_x
_atom_site_fract_y
_atom_site_fract_z
_atom_site_occupancy
Mg1 0.094 0.084 0.250 1
Mg2 0.097 0.372 0.250 1
Mg3 0.198 0.182 0.750 1
Al1 0.219 0.437 0.750 1
In1 0.000 0.212 0.750 1
```

Values from the calculation:
- total moment (μB/cell) = 0.0
- density of states at the Fermi level (states/eV per atom) = 0.48
- calculated volume (Å³/atom) = 22.7
- excess energy over the best structure of this formula in the dataset (meV per atom) = 0

---

(2)
MgAl2In after structural relaxation, computed with PBE.

Structure (CIF):
```
data_MgAl2In
_chemical_formula_sum 'Mg3 Al6 In3'
_cell_length_a 3.0971
_cell_length_b 3.0971
_cell_length_c 29.6698
_cell_angle_alpha 90.00
_cell_angle_beta 90.00
_cell_angle_gamma 120.00
_space_group_name_H-M_alt 'R -3 m'
_space_group_IT_number 166
_space_group_name_Hall '-R 3 2"'
loop_
_atom_site_label
_atom_site_fract_x
_atom_site_fract_y
_atom_site_fract_z
_atom_site_occupancy
Mg1 0.0000 0.0000 0.0000 1
Al1 0.0000 0.0000 0.2516 1
In1 0.0000 0.0000 0.5000 1
```

Values from the calculation:
- total moment (μB/cell) = 0.0
- energy (eV per atom) = -2.86
- density of states at the Fermi level (states/eV per atom) = 0.26
- calculated volume (Å³/atom) = 20.5

---

(3)
Mg2Al2In after structural relaxation, computed with PBE.

Structure (CIF):
```
data_Mg2Al2In
_chemical_formula_sum 'Mg4 Al4 In2'
_cell_length_a 8.553
_cell_length_b 8.553
_cell_length_c 3.003
_cell_angle_alpha 90.00
_cell_angle_beta 90.00
_cell_angle_gamma 90.00
_space_group_name_H-M_alt 'P 4/m b m'
_space_group_IT_number 127
_space_group_name_Hall '-P 4 2ab'
loop_
_atom_site_label
_atom_site_fract_x
_atom_site_fract_y
_atom_site_fract_z
_atom_site_occupancy
Mg1 0.127 0.373 0.000 1
Al1 0.171 0.671 0.500 1
In1 0.000 0.000 0.000 1
```

Values from the calculation:
- total moment (μB/cell) = 0.0
- density of states at the Fermi level (states/eV per atom) = 0.40
- calculated volume (Å³/atom) = 22.0
- excess energy over the best structure of this formula in the dataset (meV per atom) = 77

---

(4)
Mg6AlIn5 after structural relaxation, computed with PBE.

Structure (CIF):
```
data_Mg6AlIn5
_chemical_formula_sum 'Mg12 Al2 In10'
_cell_length_a 9.828
_cell_length_b 13.541
_cell_length_c 4.586
_cell_angle_alpha 90.00
_cell_angle_beta 116.99
_cell_angle_gamma 90.00
_space_group_name_H-M_alt 'C 1 2/m 1'
_space_group_IT_number 12
_space_group_name_Hall '-C 2y'
loop_
_atom_site_label
_atom_site_fract_x
_atom_site_fract_y
_atom_site_fract_z
_atom_site_occupancy
Mg1 0.247 0.000 0.248 1
Mg2 0.247 0.164 0.747 1
Al1 0.000 0.000 0.500 1
In1 0.000 0.160 0.000 1
In2 0.000 0.332 0.500 1
In3 0.000 0.500 0.000 1
```

Values from the calculation:
- total moment (μB/cell) = 0.0
- energy (eV per atom) = -2.32
- density of states at the Fermi level (states/eV per atom) = 0.38
- calculated volume (Å³/atom) = 22.7